# TcTeCl2

A relaxed structure of TcTeCl2 (PBE, Alexandria).

## Properties
ρ = 5.5 Mg/m³
energy above the most stable polymorph in this dataset = 1.000 eV/atom
ΔE_f (raw) = 0.729 eV per atom
spin magnetization = 4.031 μB/f.u.
Fermi-level density of states = 2.7 states/eV/f.u.

Cell lengths 6.245, 8.893, 3.213 Å; angles 90.00, 90.00, 90.00 degrees
Space group Cmmm (No. 65)
Asymmetric unit:
Tc1 0.000 0.000 0.000 (multiplicity 2)
Te1 0.000 0.500 0.000 (multiplicity 2)
Cl1 0.250 0.250 0.500 (multiplicity 4)

---

# ReRhSe2

A relaxed structure of ReRhSe2 (PBE, Alexandria).

## Properties
ρ = 9.3 Mg/m³
energy above the most stable polymorph in this dataset = 0.000 eV/atom
ΔE_f (raw) = 0.031 eV per atom
spin magnetization = 0.000 μB/f.u.
Fermi-level density of states = 2.8 states/eV/f.u.

Cell lengths 2.810, 3.793, 7.595 Å; angles 90.00, 97.79, 90.00 degrees
Space group Pm (No. 6)
Asymmetric unit:
Re1 0.000 0.000 0.000 (multiplicity 1)
Rh1 0.562 0.500 0.170 (multiplicity 1)
Se1 0.122 0.000 0.335 (multiplicity 1)
Se2 0.915 0.500 0.768 (multiplicity 1)

---

# ErTlBi

A relaxed structure of ErTlBi (PBE, Alexandria).

## Properties
ρ = 10.9 Mg/m³
energy above the most stable polymorph in this dataset = 0.000 eV/atom
spin magnetization = 0.000 μB/f.u.
Fermi-level density of states = 0.9 states/eV/f.u.
energy of formation = -1.2 eV/f.u.

Cell lengths 4.610, 4.610, 16.630 Å; angles 90.00, 90.00, 90.00 degrees
Space group I4/mmm (No. 139)
Asymmetric unit:
Er1 0.000 0.000 0.145 (multiplicity 4)
Tl1 0.000 0.500 0.000 (multiplicity 4)
Bi1 0.000 0.000 0.335 (multiplicity 4)

---

# LiCu2Mo2

A relaxed structure of LiCu2Mo2 (PBE, Alexandria).

## Properties
ρ = 6.9 Mg/m³
energy above the most stable polymorph in this dataset = 0.000 eV/atom
spin magnetization = 0.000 μB/f.u.
Fermi-level density of states = 2.5 states/eV/f.u.
energy of formation = 1.9 eV/f.u.

Cell lengths 7.832, 7.832, 2.566 Å; angles 90.00, 90.00, 90.00 degrees
Space group P4/mbm (No. 127)
Asymmetric unit:
Li1 0.000 0.000 0.000 (multiplicity 2)
Cu1 0.181 0.319 0.000 (multiplicity 4)
Mo1 0.112 0.612 0.500 (multiplicity 4)

---

# Pt2RhBr

A relaxed structure of Pt2RhBr (PBE, Alexandria).

## Properties
ρ = 14.3 Mg/m³
energy above the most stable polymorph in this dataset = 0.242 eV/atom
ΔE_f (raw) = 0.629 eV per atom
spin magnetization = 0.000 μB/f.u.
Fermi-level density of states = 5.2 states/eV/f.u.

Cell lengths 4.550, 4.550, 6.420 Å; angles 90.00, 90.00, 90.00 degrees
Space group I-4m2 (No. 119)
Asymmetric unit:
Pt1 0.000 0.000 0.000 (multiplicity 2)
Pt2 0.000 0.500 0.250 (multiplicity 2)
Rh1 0.000 0.000 0.500 (multiplicity 2)
Br1 0.000 0.500 0.750 (multiplicity 2)

---

# ThRuI

A relaxed structure of ThRuI (PBE, Alexandria).

## Properties
ρ = 7.5 Mg/m³
ΔE_f (raw) = -0.752 eV per atom
spin magnetization = 0.000 μB/f.u.
Fermi-level density of states = 2.1 states/eV/f.u.

Cell lengths 7.489, 4.322, 12.762 Å; angles 90.00, 98.30, 90.00 degrees
Space group C2/m (No. 12)
Asymmetric unit:
Th1 0.036 0.000 0.146 (multiplicity 4)
Ru1 0.171 0.500 0.016 (multiplicity 4)
I1 0.087 0.500 0.674 (multiplicity 4)